1.
LiGeBiTe3 | PBE | relaxed

Raw total energy (eV per atom): -3.60

The structure in extended XYZ format:
```
12
Lattice="-1.6577 1.2776 3.7125 -7.0612 -4.4557 -1.6195 7.0560 -6.8243 5.4992" Properties=species:S:1:pos:R:3 pbc="T T T"
Te -6.7208 -3.7619 1.9629
Te 0.6224 -3.1408 5.0281
Te 1.5350 -7.6335 4.5355
Te -2.2853 -6.8616 2.5641
Te 5.0580 -6.2405 5.6292
Te -3.1978 -2.3689 3.0566
Bi -0.6099 -1.6511 1.5190
Bi -1.0530 -8.3513 6.0731
Li 2.6812 -6.9455 7.2567
Li -4.3441 -3.0570 0.3354
Ge -4.5034 -5.4492 3.5337
Ge 2.8406 -4.5532 4.0584
```



2.
LiGeBi2Te4 | PBE | relaxed

Raw total energy (eV per atom): -3.63

The structure in extended XYZ format:
```
8
Lattice="4.3644 0.0000 0.0000 0.0000 7.6690 0.1805 0.0000 -2.6330 7.1743" Properties=species:S:1:pos:R:3 pbc="T T T"
Bi 2.1822 -1.3165 3.5872
Bi 0.0000 2.5180 3.6774
Te 0.0000 5.1358 1.8126
Te 0.0000 -0.0997 5.5422
Te 2.1822 1.2296 1.6899
Te 2.1822 3.8064 5.6650
Ge 0.0000 0.0000 0.0000
Li 2.1822 3.8345 0.0903
```